(1)
Cs2NaPt | PBE | optimized geometry

```
data_Cs2NaPt
_symmetry_space_group_name_H-M 'F m -3 m'
_symmetry_Int_Tables_number 225
_symmetry_space_group_name_Hall '-F 4 2 3'
_cell_length_a 8.5392
_cell_length_b 8.5392
_cell_length_c 8.5392
_cell_angle_alpha 90.00
_cell_angle_beta 90.00
_cell_angle_gamma 90.00
loop_
_atom_site_label
_atom_site_type_symbol
_atom_site_fract_x
_atom_site_fract_y
_atom_site_fract_z
Cs1 Cs 0.2500 0.2500 0.2500
Na1 Na 0.0000 0.0000 0.0000
Pt1 Pt 0.0000 0.0000 0.5000
```

Properties
- Magnetic moment: 0.000 μB per atom
- ΔH_f (0 K): 202.3 meV per atom

=====

(2)
CsNaPt3 | PBE | optimized geometry

```
data_CsNaPt3
_symmetry_space_group_name_H-M 'P m -3 m'
_symmetry_Int_Tables_number 221
_symmetry_space_group_name_Hall '-P 4 2 3'
_cell_length_a 5.3249
_cell_length_b 5.3249
_cell_length_c 5.3249
_cell_angle_alpha 90.00
_cell_angle_beta 90.00
_cell_angle_gamma 90.00
loop_
_atom_site_label
_atom_site_type_symbol
_atom_site_fract_x
_atom_site_fract_y
_atom_site_fract_z
Cs1 Cs 0.0000 0.0000 0.0000
Na1 Na 0.5000 0.5000 0.5000
Pt1 Pt 0.0000 0.0000 0.5000
```

Properties
- Magnetic moment: 0.000 μB per atom
- ΔH_f (0 K): 1548.3 meV per atom

=====

(3)
CsNaPt | PBE | optimized geometry

```
data_CsNaPt
_symmetry_space_group_name_H-M 'F d d d'
_symmetry_Int_Tables_number 70
_cell_length_a 6.2521
_cell_length_b 9.8866
_cell_length_c 24.4515
_cell_angle_alpha 90.00
_cell_angle_beta 90.00
_cell_angle_gamma 90.00
loop_
_symmetry_equiv_pos_as_xyz
'x,y,z'
'-x,-y,-z'
'-x+1/4,-y+1/4,z'
'x+1/4,y+1/4,-z'
'x,-y+1/4,-z+1/4'
'-x,y+1/4,z+1/4'
'-x+1/4,y,-z+1/4'
'x+1/4,-y,z+1/4'
'x,y+1/2,z+1/2'
'-x,-y+1/2,-z+1/2'
'-x+1/4,-y+3/4,z+1/2'
'x+1/4,y+3/4,-z+1/2'
'x,-y+3/4,-z+3/4'
'-x,y+3/4,z+3/4'
'-x+1/4,y+1/2,-z+3/4'
'x+1/4,-y+1/2,z+3/4'
'x+1/2,y,z+1/2'
'-x+1/2,-y,-z+1/2'
'-x+3/4,-y+1/4,z+1/2'
'x+3/4,y+1/4,-z+1/2'
'x+1/2,-y+1/4,-z+3/4'
'-x+1/2,y+1/4,z+3/4'
'-x+3/4,y,-z+3/4'
'x+3/4,-y,z+3/4'
'x+1/2,y+1/2,z'
'-x+1/2,-y+1/2,-z'
'-x+3/4,-y+3/4,z'
'x+3/4,y+3/4,-z'
'x+1/2,-y+3/4,-z+1/4'
'-x+1/2,y+3/4,z+1/4'
'-x+3/4,y+1/2,-z+1/4'
'x+3/4,-y+1/2,z+1/4'
loop_
_atom_site_label
_atom_site_type_symbol
_atom_site_fract_x
_atom_site_fract_y
_atom_site_fract_z
Cs1 Cs 0.1250 0.3003 0.1250
Na1 Na 0.1250 0.1250 0.5224
Pt1 Pt 0.1250 0.1250 0.0020
```

Properties
- Magnetic moment: 0.022 μB per atom
- ΔH_f (0 K): 23.0 meV per atom

=====

(4)
CsNa3Pt | PBE | optimized geometry

```
data_CsNa3Pt
_symmetry_space_group_name_H-M 'P m -3 m'
_symmetry_Int_Tables_number 221
_symmetry_space_group_name_Hall '-P 4 2 3'
_cell_length_a 5.9623
_cell_length_b 5.9623
_cell_length_c 5.9623
_cell_angle_alpha 90.00
_cell_angle_beta 90.00
_cell_angle_gamma 90.00
loop_
_atom_site_label
_atom_site_type_symbol
_atom_site_fract_x
_atom_site_fract_y
_atom_site_fract_z
Cs1 Cs 0.0000 0.0000 0.0000
Na1 Na 0.0000 0.0000 0.5000
Pt1 Pt 0.5000 0.5000 0.5000
```

Properties
- Magnetic moment: 0.000 μB per atom
- ΔH_f (0 K): 1114.7 meV per atom